Entry 1:
## MnNi2HPt (PBE)

Data for an optimized crystal structure of MnNi2HPt.

Unit cell a=3.7561 b=3.7561 c=3.8299 alpha=90.00 beta=90.00 gamma=90.00
Sites, in units of the cell vectors:
Mn 0.0000 0.0000 0.0000
Ni 0.0000 0.5000 0.5000
Ni 0.5000 0.0000 0.5000
H 0.5000 0.5000 0.5000
Pt 0.5000 0.5000 0.0000

Results
Total magnetic moment: 0.98 μB per atom
Volume: 10.81 Å³ per atom
E above lowest polymorph: 0.028 eV/atom

---

Entry 2:
## Mn2NiHPt (PBE)

Data for an optimized crystal structure of Mn2NiHPt.

Unit cell a=3.9585 b=3.9585 c=3.7048 alpha=90.00 beta=90.00 gamma=90.00
Sites, in units of the cell vectors:
Mn 0.0000 0.5000 0.0000
Mn 0.5000 0.0000 0.0000
Ni 0.0000 0.0000 0.5000
H 0.5000 0.5000 0.0000
Pt 0.5000 0.5000 0.5000

Results
Total magnetic moment: 1.66 μB per atom
Volume: 11.61 Å³ per atom
E above lowest polymorph: 0.084 eV/atom

---

Entry 3:
## MnNiHPt (PBE)

Data for an optimized crystal structure of MnNiHPt.

Unit cell a=6.6890 b=6.6890 c=6.6890 alpha=23.66 beta=23.66 gamma=23.66
Sites, in units of the cell vectors:
Mn 0.0000 0.0000 0.0000
Ni 0.2259 0.2259 0.2259
H 0.6030 0.6030 0.6030
Pt 0.7792 0.7792 0.7792

Results
Total magnetic moment: 0.97 μB per atom
Volume: 10.58 Å³ per atom
Raw total energy: -6.16 eV/atom